# SnHN3

SnHN3 after structural relaxation (GGA-PBE, the Alexandria database).

Cell lengths 4.2285, 4.2285, 4.2285 Å; angles 90.00, 90.00, 90.00 degrees
Positions (direct):
Sn: 0.0000 0.0000 0.0000
H: 0.5000 0.5000 0.5000
N: 0.0000 0.0000 0.5000
N: 0.0000 0.5000 0.0000
N: 0.5000 0.0000 0.0000

Values from the calculation:
DOS at the Fermi energy in states/eV/atom: 0.46
SG: Pm-3m, No. 221
Energy in eV/atom: -4.103
Spin magnetization in μB/atom: 0.800